No. 1
A relaxed Lu2MgPt crystal, computed with PBE-GGA. Values from VASP.

Cell and atoms, written as Quantum ESPRESSO input:
```
&SYSTEM
  ibrav = 0, nat = 4, ntyp = 3
/
ATOMIC_SPECIES
Lu 174.97 Lu.upf
Mg 24.30 Mg.upf
Pt 195.08 Pt.upf
CELL_PARAMETERS angstrom
3.529 0.000 0.000
0.000 3.529 0.000
0.000 0.000 7.364
ATOMIC_POSITIONS angstrom
Lu 0.000 0.000 1.588
Lu 0.000 0.000 5.776
Mg 1.764 1.764 3.682
Pt 1.764 1.764 0.000
```

Calculated values
As for the density of states at the Fermi level: 0.698 states/eV per atom. As for the calculated formation energy: -0.708 eV/atom. The space-group type is No. 123. Its energy above the most stable polymorph in this dataset is 0.0 meV per atom.

No. 2
A relaxed Lu2MgPt crystal, computed with PBE-GGA. Values from VASP.

Cell and atoms, written as Quantum ESPRESSO input:
```
&SYSTEM
  ibrav = 0, nat = 16, ntyp = 3
/
ATOMIC_SPECIES
Lu 174.97 Lu.upf
Mg 24.30 Mg.upf
Pt 195.08 Pt.upf
CELL_PARAMETERS angstrom
7.044 0.000 0.000
0.000 7.044 0.000
0.000 0.000 7.044
ATOMIC_POSITIONS angstrom
Lu 1.761 1.761 1.761
Lu 1.761 1.761 5.283
Lu 1.761 5.283 1.761
Lu 1.761 5.283 5.283
Lu 5.283 1.761 1.761
Lu 5.283 1.761 5.283
Lu 5.283 5.283 1.761
Lu 5.283 5.283 5.283
Mg 0.000 0.000 0.000
Mg 0.000 3.522 3.522
Mg 3.522 0.000 3.522
Mg 3.522 3.522 0.000
Pt 0.000 0.000 3.522
Pt 0.000 3.522 0.000
Pt 3.522 0.000 0.000
Pt 3.522 3.522 3.522
```

Calculated values
As for the density of states at the Fermi level: 0.871 states/eV per atom. As for the calculated formation energy: -0.643 eV/atom. The space-group type is No. 225. Its energy above the most stable polymorph in this dataset is 65.8 meV per atom.

No. 3
A relaxed LuMgPt crystal, computed with PBE-GGA. Values from VASP.

Cell and atoms, written as Quantum ESPRESSO input:
```
&SYSTEM
  ibrav = 0, nat = 12, ntyp = 3
/
ATOMIC_SPECIES
Lu 174.97 Lu.upf
Mg 24.30 Mg.upf
Pt 195.08 Pt.upf
CELL_PARAMETERS angstrom
6.533 0.000 0.000
0.000 6.533 0.000
0.000 0.000 6.533
ATOMIC_POSITIONS angstrom
Lu 0.000 0.000 0.000
Lu 0.000 3.266 3.266
Lu 3.266 0.000 3.266
Lu 3.266 3.266 0.000
Mg 0.000 0.000 3.266
Mg 0.000 3.266 0.000
Mg 3.266 0.000 0.000
Mg 3.266 3.266 3.266
Pt 1.633 1.633 1.633
Pt 1.633 4.900 4.900
Pt 4.900 1.633 4.900
Pt 4.900 4.900 1.633
```

Calculated values
As for the density of states at the Fermi level: 0.591 states/eV per atom. As for the calculated formation energy: -0.878 eV/atom. The space-group type is No. 216.

No. 4
A relaxed LuMgPt crystal, computed with PBE-GGA. Values from VASP.

Cell and atoms, written as Quantum ESPRESSO input:
```
&SYSTEM
  ibrav = 0, nat = 6, ntyp = 3
/
ATOMIC_SPECIES
Lu 174.97 Lu.upf
Mg 24.30 Mg.upf
Pt 195.08 Pt.upf
CELL_PARAMETERS angstrom
3.520 0.000 0.000
0.000 3.520 0.000
0.000 0.000 9.960
ATOMIC_POSITIONS angstrom
Lu 0.000 0.000 0.000
Lu 1.760 1.760 4.980
Mg 0.000 0.000 7.045
Mg 1.760 1.760 2.065
Pt 0.000 0.000 3.534
Pt 1.760 1.760 8.514
```

Calculated values
As for the density of states at the Fermi level: 0.483 states/eV per atom. As for the calculated formation energy: -0.794 eV/atom. The space-group type is No. 107.

No. 5
A relaxed LuMgPt crystal, computed with PBE-GGA. Values from VASP.

Cell and atoms, written as Quantum ESPRESSO input:
```
&SYSTEM
  ibrav = 0, nat = 3, ntyp = 3
/
ATOMIC_SPECIES
Lu 174.97 Lu.upf
Mg 24.30 Mg.upf
Pt 195.08 Pt.upf
CELL_PARAMETERS angstrom
4.532 0.000 0.000
-2.266 3.925 0.000
0.000 0.000 3.506
ATOMIC_POSITIONS angstrom
Lu 0.000 0.000 0.000
Mg 0.000 2.617 1.757
Pt 2.266 1.308 1.742
```

Calculated values
As for the density of states at the Fermi level: 0.749 states/eV per atom. As for the calculated formation energy: -0.714 eV/atom. The space-group type is No. 156.

No. 6
A relaxed LuMgRuPt crystal, computed with PBE-GGA. Values from VASP.

Cell and atoms, written as Quantum ESPRESSO input:
```
&SYSTEM
  ibrav = 0, nat = 16, ntyp = 4
/
ATOMIC_SPECIES
Lu 174.97 Lu.upf
Mg 24.30 Mg.upf
Ru 101.07 Ru.upf
Pt 195.08 Pt.upf
CELL_PARAMETERS angstrom
6.519 0.000 0.000
0.000 6.519 0.000
0.000 0.000 6.519
ATOMIC_POSITIONS angstrom
Lu 0.000 0.000 0.000
Lu 0.000 3.259 3.259
Lu 3.259 0.000 3.259
Lu 3.259 3.259 0.000
Mg 0.000 0.000 3.259
Mg 0.000 3.259 0.000
Mg 3.259 0.000 0.000
Mg 3.259 3.259 3.259
Ru 1.630 1.630 1.630
Ru 1.630 4.889 4.889
Ru 4.889 1.630 4.889
Ru 4.889 4.889 1.630
Pt 1.630 1.630 4.889
Pt 1.630 4.889 1.630
Pt 4.889 1.630 1.630
Pt 4.889 4.889 4.889
```

Calculated values
As for the density of states at the Fermi level: 0.550 states/eV per atom. As for the calculated formation energy: -0.663 eV/atom. The space-group type is No. 216.

No. 7
A relaxed SmLuMgPt crystal, computed with PBE-GGA. Values from VASP.

Cell and atoms, written as Quantum ESPRESSO input:
```
&SYSTEM
  ibrav = 0, nat = 16, ntyp = 4
/
ATOMIC_SPECIES
Sm 150.36 Sm.upf
Lu 174.97 Lu.upf
Mg 24.30 Mg.upf
Pt 195.08 Pt.upf
CELL_PARAMETERS angstrom
7.193 0.000 0.000
0.000 7.193 0.000
0.000 0.000 7.193
ATOMIC_POSITIONS angstrom
Sm 0.000 0.000 0.000
Sm 0.000 3.597 3.597
Sm 3.597 0.000 3.597
Sm 3.597 3.597 0.000
Lu 0.000 0.000 3.597
Lu 0.000 3.597 0.000
Lu 3.597 0.000 0.000
Lu 3.597 3.597 3.597
Mg 1.798 1.798 5.395
Mg 1.798 5.395 1.798
Mg 5.395 1.798 1.798
Mg 5.395 5.395 5.395
Pt 1.798 1.798 1.798
Pt 1.798 5.395 5.395
Pt 5.395 1.798 5.395
Pt 5.395 5.395 1.798
```

Calculated values
As for the density of states at the Fermi level: 0.609 states/eV per atom. As for the calculated formation energy: -0.583 eV/atom. The space-group type is No. 216.

No. 8
A relaxed TbLuMgPt crystal, computed with PBE-GGA. Values from VASP.

Cell and atoms, written as Quantum ESPRESSO input:
```
&SYSTEM
  ibrav = 0, nat = 16, ntyp = 4
/
ATOMIC_SPECIES
Tb 158.93 Tb.upf
Lu 174.97 Lu.upf
Mg 24.30 Mg.upf
Pt 195.08 Pt.upf
CELL_PARAMETERS angstrom
7.131 0.000 0.000
0.000 7.131 0.000
0.000 0.000 7.131
ATOMIC_POSITIONS angstrom
Tb 0.000 0.000 0.000
Tb 0.000 3.565 3.565
Tb 3.565 0.000 3.565
Tb 3.565 3.565 0.000
Lu 0.000 0.000 3.565
Lu 0.000 3.565 0.000
Lu 3.565 0.000 0.000
Lu 3.565 3.565 3.565
Mg 1.783 1.783 5.348
Mg 1.783 5.348 1.783
Mg 5.348 1.783 1.783
Mg 5.348 5.348 5.348
Pt 1.783 1.783 1.783
Pt 1.783 5.348 5.348
Pt 5.348 1.783 5.348
Pt 5.348 5.348 1.783
```

Calculated values
As for the density of states at the Fermi level: 0.677 states/eV per atom. As for the calculated formation energy: -0.614 eV/atom. The space-group type is No. 216.

No. 9
A relaxed LuMgTlPt crystal, computed with PBE-GGA. Values from VASP.

Cell and atoms, written as Quantum ESPRESSO input:
```
&SYSTEM
  ibrav = 0, nat = 16, ntyp = 4
/
ATOMIC_SPECIES
Lu 174.97 Lu.upf
Mg 24.30 Mg.upf
Tl 204.38 Tl.upf
Pt 195.08 Pt.upf
CELL_PARAMETERS angstrom
6.927 0.000 0.000
0.000 6.927 0.000
0.000 0.000 6.927
ATOMIC_POSITIONS angstrom
Lu 0.000 0.000 0.000
Lu 0.000 3.463 3.463
Lu 3.463 0.000 3.463
Lu 3.463 3.463 0.000
Mg 0.000 0.000 3.463
Mg 0.000 3.463 0.000
Mg 3.463 0.000 0.000
Mg 3.463 3.463 3.463
Tl 1.732 1.732 1.732
Tl 1.732 5.195 5.195
Tl 5.195 1.732 5.195
Tl 5.195 5.195 1.732
Pt 1.732 1.732 5.195
Pt 1.732 5.195 1.732
Pt 5.195 1.732 1.732
Pt 5.195 5.195 5.195
```

Calculated values
As for the density of states at the Fermi level: 0.198 states/eV per atom. As for the calculated formation energy: -0.599 eV/atom. The space-group type is No. 216.

No. 10
A relaxed TmLuMgPt crystal, computed with PBE-GGA. Values from VASP.

Cell and atoms, written as Quantum ESPRESSO input:
```
&SYSTEM
  ibrav = 0, nat = 16, ntyp = 4
/
ATOMIC_SPECIES
Tm 168.93 Tm.upf
Lu 174.97 Lu.upf
Mg 24.30 Mg.upf
Pt 195.08 Pt.upf
CELL_PARAMETERS angstrom
7.068 0.000 0.000
0.000 7.068 0.000
0.000 0.000 7.068
ATOMIC_POSITIONS angstrom
Tm 0.000 0.000 0.000
Tm 0.000 3.534 3.534
Tm 3.534 0.000 3.534
Tm 3.534 3.534 0.000
Lu 0.000 0.000 3.534
Lu 0.000 3.534 0.000
Lu 3.534 0.000 0.000
Lu 3.534 3.534 3.534
Mg 1.767 1.767 5.301
Mg 1.767 5.301 1.767
Mg 5.301 1.767 1.767
Mg 5.301 5.301 5.301
Pt 1.767 1.767 1.767
Pt 1.767 5.301 5.301
Pt 5.301 1.767 5.301
Pt 5.301 5.301 1.767
```

Calculated values
As for the density of states at the Fermi level: 0.830 states/eV per atom. As for the calculated formation energy: -0.636 eV/atom. The space-group type is No. 216.

No. 11
A relaxed LuMgZnPt crystal, computed with PBE-GGA. Values from VASP.

Cell and atoms, written as Quantum ESPRESSO input:
```
&SYSTEM
  ibrav = 0, nat = 16, ntyp = 4
/
ATOMIC_SPECIES
Lu 174.97 Lu.upf
Mg 24.30 Mg.upf
Zn 65.41 Zn.upf
Pt 195.08 Pt.upf
CELL_PARAMETERS angstrom
6.678 0.000 0.000
0.000 6.678 0.000
0.000 0.000 6.678
ATOMIC_POSITIONS angstrom
Lu 0.000 0.000 0.000
Lu 0.000 3.339 3.339
Lu 3.339 0.000 3.339
Lu 3.339 3.339 0.000
Mg 0.000 0.000 3.339
Mg 0.000 3.339 0.000
Mg 3.339 0.000 0.000
Mg 3.339 3.339 3.339
Zn 1.670 1.670 1.670
Zn 1.670 5.009 5.009
Zn 5.009 1.670 5.009
Zn 5.009 5.009 1.670
Pt 1.670 1.670 5.009
Pt 1.670 5.009 1.670
Pt 5.009 1.670 1.670
Pt 5.009 5.009 5.009
```

Calculated values
As for the density of states at the Fermi level: 0.852 states/eV per atom. As for the calculated formation energy: -0.713 eV/atom. The space-group type is No. 216.

No. 12
A relaxed LuPuMg2 crystal, computed with PBE-GGA. Values from VASP.

Cell and atoms, written as Quantum ESPRESSO input:
```
&SYSTEM
  ibrav = 0, nat = 4, ntyp = 3
/
ATOMIC_SPECIES
Lu 174.97 Lu.upf
Pu 244.00 Pu.upf
Mg 24.30 Mg.upf
CELL_PARAMETERS angstrom
3.209 0.000 0.000
0.000 3.209 0.000
0.000 0.000 9.966
ATOMIC_POSITIONS angstrom
Lu 0.000 0.000 0.000
Pu 0.000 0.000 4.983
Mg 1.605 1.605 2.447
Mg 1.605 1.605 7.518
```

Calculated values
As for the density of states at the Fermi level: 2.132 states/eV per atom. As for the calculated formation energy: 0.086 eV/atom. The space-group type is No. 123. Its energy above the most stable polymorph in this dataset is 0.0 meV per atom.

No. 13
A relaxed LuPu4Mg crystal, computed with PBE-GGA. Values from VASP.

Cell and atoms, written as Quantum ESPRESSO input:
```
&SYSTEM
  ibrav = 0, nat = 6, ntyp = 3
/
ATOMIC_SPECIES
Lu 174.97 Lu.upf
Pu 244.00 Pu.upf
Mg 24.30 Mg.upf
CELL_PARAMETERS angstrom
0.000 4.331 4.331
4.331 0.000 4.331
4.331 4.331 0.000
ATOMIC_POSITIONS angstrom
Lu 0.000 0.000 0.000
Pu 3.247 3.247 3.247
Pu 5.415 5.415 3.247
Pu 5.415 3.247 5.415
Pu 3.247 5.415 5.415
Mg 6.497 6.497 6.497
```

Calculated values
As for the density of states at the Fermi level: 4.352 states/eV per atom. As for the calculated formation energy: 0.303 eV/atom. The space-group type is No. 216.

No. 14
A relaxed LuPuMg crystal, computed with PBE-GGA. Values from VASP.

Cell and atoms, written as Quantum ESPRESSO input:
```
&SYSTEM
  ibrav = 0, nat = 3, ntyp = 3
/
ATOMIC_SPECIES
Lu 174.97 Lu.upf
Pu 244.00 Pu.upf
Mg 24.30 Mg.upf
CELL_PARAMETERS angstrom
3.347 0.000 0.000
-1.674 2.899 0.000
0.000 0.000 8.341
ATOMIC_POSITIONS angstrom
Lu 0.000 0.000 0.000
Pu 0.000 1.933 5.507
Mg 1.674 0.966 2.730
```

Calculated values
As for the density of states at the Fermi level: 2.974 states/eV per atom. As for the calculated formation energy: 0.131 eV/atom. The space-group type is No. 156. Its energy above the most stable polymorph in this dataset is 23.8 meV per atom.

No. 15
A relaxed LuPuMg4 crystal, computed with PBE-GGA. Values from VASP.

Cell and atoms, written as Quantum ESPRESSO input:
```
&SYSTEM
  ibrav = 0, nat = 6, ntyp = 3
/
ATOMIC_SPECIES
Lu 174.97 Lu.upf
Pu 244.00 Pu.upf
Mg 24.30 Mg.upf
CELL_PARAMETERS angstrom
0.000 4.233 4.233
4.233 0.000 4.233
4.233 4.233 0.000
ATOMIC_POSITIONS angstrom
Lu 0.000 0.000 0.000
Pu 2.117 2.117 2.117
Mg 5.292 3.175 3.175
Mg 3.175 5.292 3.175
Mg 3.175 3.175 5.292
Mg 5.292 5.292 5.292
```

Calculated values
As for the density of states at the Fermi level: 2.050 states/eV per atom. As for the calculated formation energy: 0.061 eV/atom. The space-group type is No. 216.